Entry 1:
The following is a DFT calculation (GGA-PBE) of an optimized crystal structure of PaTlNO.

Calculated values
- space-group type = No. 29
- VASP energy (eV for the cell shown) = -116.26
- total magnetization (μB/cell) = 4.0

Cell: 5.982 8.661 5.954 Å, 90.00 90.00 90.00°
Fractional positions:
N (0.248, 0.002, 0.211)
N (0.748, 0.998, 0.211)
N (0.252, 0.002, 0.711)
N (0.752, 0.998, 0.711)
O (0.085, 0.367, 0.048)
O (0.585, 0.633, 0.048)
O (0.415, 0.367, 0.548)
O (0.915, 0.633, 0.548)
Pa (0.497, 0.121, 0.467)
Pa (0.997, 0.879, 0.467)
Pa (0.003, 0.121, 0.967)
Pa (0.503, 0.879, 0.967)
Tl (0.993, 0.366, 0.476)
Tl (0.493, 0.634, 0.476)
Tl (0.507, 0.366, 0.976)
Tl (0.007, 0.634, 0.976)


Entry 2:
The following is a DFT calculation (GGA-PBE) of an optimized crystal structure of PaTlNO.

Calculated values
- space-group type = No. 129
- VASP energy (eV for the cell shown) = -54.93
- total magnetization (μB/cell) = 2.2

Cell: 5.214 5.214 4.925 Å, 90.00 90.00 90.00°
Fractional positions:
N (0.000, 0.500, 0.487)
N (0.500, 0.000, 0.513)
O (0.000, 0.000, 0.000)
O (0.500, 0.500, 0.000)
Pa (0.000, 0.000, 0.500)
Pa (0.500, 0.500, 0.500)
Tl (0.500, 0.000, 0.008)
Tl (0.000, 0.500, 0.992)